A plane-wave DFT calculation with meta-GGA SCAN was carried out for a crystal of Dy2Ni12As7 relaxed with PBEsol.

For the total DFT energy (no corrections), the calculation gives -1.55188 Ry per atom.

Unit cell a=3.782 b=9.224 c=9.224 alpha=120.00 beta=90.00 gamma=90.00
Atoms (fractional coordinates):
1 Ni 0.000 0.440 0.383
2 Ni 0.000 0.720 0.849
3 Ni 0.000 0.943 0.560
4 Ni 0.500 0.575 0.624
5 Ni 0.000 0.130 0.280
6 Ni 0.500 0.904 0.791
7 Ni 0.000 0.151 0.870
8 Ni 0.500 0.209 0.114
9 Ni 0.500 0.376 0.952
10 Ni 0.500 0.048 0.425
11 Ni 0.500 0.886 0.096
12 Ni 0.000 0.617 0.057
13 As 0.000 0.000 0.000
14 As 0.000 0.883 0.285
15 As 0.500 0.108 0.701
16 As 0.500 0.299 0.407
17 As 0.000 0.402 0.117
18 As 0.500 0.593 0.892
19 As 0.000 0.715 0.598
20 Dy 0.500 0.667 0.333
21 Dy 0.000 0.333 0.667